Record 1
VASP calculation (GGA-PBE) on crystalline YMnAuBr2 at its relaxed geometry.

Cell lengths 5.3558, 6.5404, 5.3558 Å; angles 90.00, 90.00, 90.00 degrees
Last column: magnetic moment on the atom in μB.
Sites, in units of the cell vectors:
Y: 0.0000 0.0000 0.0000  -0.10
Mn: 0.0000 0.5000 0.0000  4.40
Au: 0.5000 0.5000 0.5000  0.04
Br: 0.0000 0.0000 0.5000  0.01
Br: 0.5000 0.0000 0.0000  0.01

Results
Total energy ... -4.46 eV per atom
Energy relative to the elements, uncorrected ... -0.01 eV/atom
D(E_F) ... 0.267 states/eV/atom
Space-group type ... No. 123
Crystal system ... tetragonal

***

Record 2
VASP calculation (GGA-PBE) on crystalline MnZnAu2Br at its relaxed geometry.

Cell lengths 4.7914, 4.9542, 4.7914 Å; angles 90.00, 90.00, 90.00 degrees
Sites, in units of the cell vectors:
Mn: 0.0000 0.0000 0.0000
Br: 0.5000 0.5000 0.5000
Au: 0.5000 0.0000 0.0000
Au: 0.0000 0.0000 0.5000
Zn: 0.0000 0.5000 0.0000

Results
Total energy ... -2.82 eV per atom
Energy relative to the elements, uncorrected ... 0.91 eV/atom
D(E_F) ... 1.203 states/eV/atom
Space-group type ... No. 123
Crystal system ... tetragonal

***

Record 3
VASP calculation (GGA-PBE) on crystalline Mo2AuBr at its relaxed geometry.

Cell lengths 4.5753, 3.9539, 3.9539 Å; angles 90.00, 90.00, 90.00 degrees
Sites, in units of the cell vectors:
Mo: 0.0000 0.0000 0.0000
Mo: 0.0000 0.5000 0.5000
Au: 0.5000 0.5000 0.0000
Br: 0.5000 0.0000 0.5000

Results
Total energy ... -5.57 eV per atom
Energy relative to the elements, uncorrected ... 1.09 eV/atom
D(E_F) ... 1.062 states/eV/atom
Space-group type ... No. 123
Crystal system ... tetragonal
Energy relative to the lowest polymorph listed for this composition ... 684 meV/atom

***

Record 4
VASP calculation (GGA-PBE) on crystalline Mo2AuBr at its relaxed geometry.

Cell lengths 3.1666, 3.1666, 8.0622 Å; angles 90.00, 90.00, 90.00 degrees
Sites, in units of the cell vectors:
Au: 0.0000 0.0000 0.4415
Mo: 0.5000 0.5000 0.2100
Mo: 0.0000 0.0000 0.0422
Br: 0.5000 0.5000 0.8063

Results
Total energy ... -6.25 eV per atom
Energy relative to the elements, uncorrected ... 0.40 eV/atom
D(E_F) ... 0.749 states/eV/atom
Space-group type ... No. 99
Crystal system ... tetragonal
Energy relative to the lowest polymorph listed for this composition ... 0 meV/atom

***

Record 5
VASP calculation (GGA-PBE) on crystalline Mo2AuBr at its relaxed geometry.

Cell lengths 6.4542, 6.4542, 6.4542 Å; angles 151.73, 137.43, 51.89 degrees
Sites, in units of the cell vectors:
Mo: 0.8320 0.3320 0.5000
Mo: 0.9842 0.9842 0.0000
Br: 0.2084 0.7084 0.5000
Au: 0.4755 0.4755 0.0000

Results
Total energy ... -6.15 eV per atom
Energy relative to the elements, uncorrected ... 0.50 eV/atom
D(E_F) ... 0.351 states/eV/atom
Space-group type ... No. 44
Crystal system ... orthorhombic
Energy relative to the lowest polymorph listed for this composition ... 96 meV/atom

***

Record 6
VASP calculation (GGA-PBE) on crystalline Mo2AuBr at its relaxed geometry.

Cell lengths 2.9755, 2.9755, 9.5080 Å; angles 90.00, 90.00, 113.12 degrees
Sites, in units of the cell vectors:
Mo: 0.0000 0.0000 0.0241
Mo: 0.5000 0.5000 0.2228
Br: 0.5000 0.5000 0.7875
Au: 0.0000 0.0000 0.4655

Results
Total energy ... -6.25 eV per atom
Energy relative to the elements, uncorrected ... 0.41 eV/atom
D(E_F) ... 0.739 states/eV/atom
Space-group type ... No. 35
Crystal system ... orthorhombic
Energy relative to the lowest polymorph listed for this composition ... 3 meV/atom

***

Record 7
VASP calculation (GGA-PBE) on crystalline MoAuBr at its relaxed geometry.

Cell lengths 3.1457, 3.1457, 7.0754 Å; angles 90.00, 90.00, 120.00 degrees
Sites, in units of the cell vectors:
Au: 0.0000 0.0000 0.9543
Br: 0.6667 0.3333 0.3950
Mo: 0.3333 0.6667 0.6508

Results
Total energy ... -4.93 eV per atom
Energy relative to the elements, uncorrected ... 0.33 eV/atom
D(E_F) ... 0.859 states/eV/atom
Space-group type ... No. 156
Crystal system ... trigonal
Energy relative to the lowest polymorph listed for this composition ... 0 meV/atom

***

Record 8
VASP calculation (GGA-PBE) on crystalline Mo2AuBr at its relaxed geometry.

Cell lengths 3.1439, 3.1439, 6.7385 Å; angles 90.00, 90.00, 90.00 degrees
Sites, in units of the cell vectors:
Mo: 0.0000 0.0000 0.5031
Mo: 0.0000 0.0000 0.9969
Au: 0.5000 0.5000 0.2500
Br: 0.5000 0.5000 0.7500

Results
Total energy ... -5.91 eV per atom
Energy relative to the elements, uncorrected ... 0.75 eV/atom
D(E_F) ... 0.992 states/eV/atom
Space-group type ... No. 123
Crystal system ... tetragonal
Energy relative to the lowest polymorph listed for this composition ... 341 meV/atom

***

Which formula does entry 8 have? Mo2AuBr

***

Which of these has the highest energy relative to the elements, uncorrected? number 3

***

Which value of total energy does entry 2 give? -2.82 eV per atom